# GGA+U BP2WO, optimized geometry
# Calculated volume ... 87.9 Å³ per cell
# VASP energy ... -25.616 eV for the cell shown
data_BP2WO
_space_group_name_H-M_alt 'P 4/m m m'
_space_group_IT_number 123
_space_group_name_Hall '-P 4 2'
_cell_length_a 4.8133
_cell_length_b 4.8133
_cell_length_c 3.7928
_cell_angle_alpha 90.00
_cell_angle_beta 90.00
_cell_angle_gamma 90.00
loop_
_atom_site_label
_atom_site_type_symbol
_atom_site_fract_x
_atom_site_fract_y
_atom_site_fract_z
B1 B 0.0000 0.0000 0.0000
P1 P 0.0000 0.5000 0.5000
W1 W 0.5000 0.5000 0.5000
O1 O 0.5000 0.5000 0.0000